[1]
VASP calculation (GGA-PBE) on a geometry-optimized Nb2Cu2Ru structure. Values from VASP.

energy	-7.042	eV/atom
calculated volume	15.7	Å³ per atom
ΔE to the lowest computed polymorph	0.3827	eV per atom
M_tot	0.00	μB per atom
formation enthalpy at 0 K	46.2	kJ per mole of atoms

Geometry as Quantum ESPRESSO input:
```
&SYSTEM
  ibrav = 0, nat = 10, ntyp = 3
/
ATOMIC_SPECIES
Cu 63.55 Cu.upf
Ru 101.07 Ru.upf
Nb 92.91 Nb.upf
CELL_PARAMETERS angstrom
7.7395 0.0000 0.0000
0.0000 7.7395 0.0000
0.0000 0.0000 2.6198
ATOMIC_POSITIONS crystal
Cu 0.6646 0.8354 0.5000
Cu 0.1646 0.6646 0.5000
Cu 0.8354 0.3354 0.5000
Cu 0.3354 0.1646 0.5000
Ru 0.0000 0.0000 0.0000
Ru 0.5000 0.5000 0.0000
Nb 0.3669 0.8669 0.0000
Nb 0.8669 0.6331 0.0000
Nb 0.6331 0.1331 0.0000
Nb 0.1331 0.3669 0.0000
```


[2]
VASP calculation (GGA-PBE) on a geometry-optimized GaBi4Pb5 structure. Values from VASP.

energy	-3.612	eV/atom
calculated volume	32.3	Å³ per atom
ΔE to the lowest computed polymorph	0.0513	eV per atom
M_tot	0.00	μB per atom
formation enthalpy at 0 K	9.4	kJ per mole of atoms

Geometry as Quantum ESPRESSO input:
```
&SYSTEM
  ibrav = 0, nat = 10, ntyp = 3
/
ATOMIC_SPECIES
Pb 207.20 Pb.upf
Bi 208.98 Bi.upf
Ga 69.72 Ga.upf
CELL_PARAMETERS angstrom
-2.5633 2.4281 -1.7874
-6.8438 -6.2491 1.3254
1.9259 4.7593 8.0846
ATOMIC_POSITIONS crystal
Pb 0.8567 0.2647 0.7134
Pb 0.5000 0.5000 0.0000
Pb 0.1433 0.7353 0.2866
Pb 0.7745 0.6567 0.5491
Pb 0.2255 0.3433 0.4509
Bi 0.0443 0.2554 0.0885
Bi 0.3417 0.9723 0.6834
Bi 0.9557 0.7446 0.9115
Bi 0.6583 0.0277 0.3166
Ga 0.5000 0.0000 0.0000
```


[3]
VASP calculation (GGA-PBE) on a geometry-optimized Na4Sr3 structure. Values from VASP.

energy	-1.438	eV/atom
calculated volume	45.4	Å³ per atom
ΔE to the lowest computed polymorph	0.0102	eV per atom
M_tot	0.00	μB per atom
formation enthalpy at 0 K	3.5	kJ per mole of atoms

Geometry as Quantum ESPRESSO input:
```
&SYSTEM
  ibrav = 0, nat = 7, ntyp = 2
/
ATOMIC_SPECIES
Sr 87.62 Sr.upf
Na 22.99 Na.upf
CELL_PARAMETERS angstrom
5.8826 0.0000 -1.2554
-0.2068 4.0492 -0.9690
-0.2667 0.9901 13.1606
ATOMIC_POSITIONS crystal
Sr 0.7961 0.7961 0.5921
Sr 0.2039 0.2039 0.4079
Sr 0.5000 0.0000 0.0000
Na 0.0677 0.5677 0.1353
Na 0.3600 0.3600 0.7199
Na 0.6400 0.6400 0.2801
Na 0.9323 0.4323 0.8647
```


[4]
VASP calculation (GGA-PBE) on a geometry-optimized Mg2TiI structure. Values from VASP.

energy	-2.573	eV/atom
uncorrected formation energy	0.59	eV per atom
calculated volume	25.8	Å³ per atom
ΔE to the lowest computed polymorph	0.2054	eV per atom
M_tot	0.69	μB per atom

Geometry as Quantum ESPRESSO input:
```
&SYSTEM
  ibrav = 0, nat = 4, ntyp = 3
/
ATOMIC_SPECIES
Mg 24.30 Mg.upf
I 126.90 I.upf
Ti 47.87 Ti.upf
CELL_PARAMETERS angstrom
3.0748 -2.1924 3.6680
-1.3572 0.2735 5.0792
-1.6014 -4.3281 2.5334
ATOMIC_POSITIONS crystal
Mg 0.2500 0.2500 0.2500
Mg 0.7500 0.7500 0.7500
I 0.5000 0.5000 0.5000
Ti 0.0000 0.0000 0.0000
```


Repeat the third record exactly.
VASP calculation (GGA-PBE) on a geometry-optimized Na4Sr3 structure. Values from VASP.

energy	-1.438	eV/atom
calculated volume	45.4	Å³ per atom
ΔE to the lowest computed polymorph	0.0102	eV per atom
M_tot	0.00	μB per atom
formation enthalpy at 0 K	3.5	kJ per mole of atoms

Geometry as Quantum ESPRESSO input:
```
&SYSTEM
  ibrav = 0, nat = 7, ntyp = 2
/
ATOMIC_SPECIES
Sr 87.62 Sr.upf
Na 22.99 Na.upf
CELL_PARAMETERS angstrom
5.8826 0.0000 -1.2554
-0.2068 4.0492 -0.9690
-0.2667 0.9901 13.1606
ATOMIC_POSITIONS crystal
Sr 0.7961 0.7961 0.5921
Sr 0.2039 0.2039 0.4079
Sr 0.5000 0.0000 0.0000
Na 0.0677 0.5677 0.1353
Na 0.3600 0.3600 0.7199
Na 0.6400 0.6400 0.2801
Na 0.9323 0.4323 0.8647
```


> Among the records above, which one has the lowest calculated volume?

Nb2Cu2Ru